## CaTa2Ru (PBE)

Data for a relaxed structure of CaTa2Ru.

Output
Final energy: -33.0 eV for the cell shown
ΔH_f (0 K): 0.490 eV per atom

The structure in POSCAR format:
```
CaTa2Ru
1.0
-2.7993 -4.5512 0.3277
3.1445 1.1923 4.5287
-2.0995 0.7274 1.8325
Ru Ca Ta
1 1 2
Direct
0.5000 0.5000 0.0000
0.0000 0.5000 0.5000
0.0000 0.0000 0.0000
0.5000 0.0000 0.5000
```